Here is crystalline Ho3ScHg12 at its relaxed geometry from Alexandria. Energies are from GGA-PBE.

Structure (extended XYZ):
```
16
Lattice="4.479 0.000 0.000 0.000 4.479 0.000 0.000 0.000 19.028" Properties=species:S:1:pos:R:3 pbc="T T T"
Ho 0.000 0.000 0.000
Ho 0.000 0.000 4.833
Ho 0.000 0.000 14.195
Sc 0.000 0.000 9.514
Hg 0.000 2.239 2.412
Hg 0.000 2.239 7.222
Hg 0.000 2.239 11.806
Hg 0.000 2.239 16.616
Hg 2.239 0.000 2.412
Hg 2.239 0.000 7.222
Hg 2.239 0.000 11.806
Hg 2.239 0.000 16.616
Hg 2.239 2.239 0.000
Hg 2.239 2.239 4.822
Hg 2.239 2.239 9.514
Hg 2.239 2.239 14.206
```

Values from the calculation:
Volume = 381.65 Å³/cell
Fermi-level density of states = 0.620 states/eV/atom
Energy relative to the elements = -0.28 eV/atom
Crystal system = tetragonal